[1]
# SnBCl2

A relaxed SnBCl2 crystal (PBE-GGA, Alexandria via LeMat-Bulk).

Values from the calculation:
**Raw formation energy**: 0.552 eV per atom
**Calculated volume**: 24.63 A^3/atom
**DOS(E_F)**: 5.151 states/eV/cell
**ΔE to the lowest computed polymorph**: 313 meV/atom

a = 6.5320 Å, b = 6.5320 Å, c = 6.5320 Å
α = 60.00°, β = 60.00°, γ = 60.00°
Closest atoms and distances in Å follow each position.
Sites, in units of the cell vectors:
Sn1 0.1250 0.1250 0.1250  12 Cl 3.83, 4 Sn 4.00, 4 B 4.00
Sn2 0.8750 0.8750 0.8750  12 Cl 3.83, 4 B 4.00, 4 Sn 4.00
B1 0.3750 0.3750 0.3750  4 Cl 2.00
B2 0.6250 0.6250 0.6250  4 Cl 2.00
Cl1 0.0000 0.5000 0.5000  2 B 2.00
Cl2 0.5000 0.0000 0.5000  2 B 2.00
Cl3 0.5000 0.5000 0.0000  2 B 2.00
Cl4 0.5000 0.5000 0.5000  2 B 2.00

=====

[2]
# SnBCl3

A relaxed SnBCl3 crystal (PBE-GGA, Alexandria via LeMat-Bulk).

Values from the calculation:
**Raw formation energy**: 0.375 eV per atom
**Calculated volume**: 31.72 A^3/atom
**DOS(E_F)**: 8.282 states/eV/cell
**ΔE to the lowest computed polymorph**: 226 meV/atom

a = 5.4130 Å, b = 5.4130 Å, c = 5.4130 Å
α = 90.00°, β = 90.00°, γ = 90.00°
Closest atoms and distances in Å follow each position.
Sites, in units of the cell vectors:
Sn1 0.0000 0.0000 0.0000  6 Cl 2.71
B1 0.5000 0.5000 0.5000  12 Cl 3.83
Cl1 0.0000 0.0000 0.5000  2 Sn 2.71
Cl2 0.0000 0.5000 0.0000  2 Sn 2.71
Cl3 0.5000 0.0000 0.0000  2 Sn 2.71

=====

[3]
# SnBCl2

A relaxed SnBCl2 crystal (PBE-GGA, Alexandria via LeMat-Bulk).

Values from the calculation:
**Raw formation energy**: 0.239 eV per atom
**Calculated volume**: 25.10 A^3/atom
**DOS(E_F)**: 1.531 states/eV/cell
**ΔE to the lowest computed polymorph**: 0 meV/atom

a = 10.8458 Å, b = 10.8458 Å, c = 10.8458 Å
α = 17.48°, β = 17.48°, γ = 17.48°
Closest atoms and distances in Å follow each position.
Sites, in units of the cell vectors:
Sn1 0.0000 0.0000 0.0000  6 Sn 3.30
B1 0.5000 0.5000 0.5000  2 Cl 1.67
Cl1 0.4479 0.4479 0.4479  1 B 1.67
Cl2 0.5521 0.5521 0.5521  1 B 1.67

=====

[4]
# SnBCl2

A relaxed SnBCl2 crystal (PBE-GGA, Alexandria via LeMat-Bulk).

Values from the calculation:
**Raw formation energy**: 0.650 eV per atom
**Calculated volume**: 21.30 A^3/atom
**DOS(E_F)**: 2.009 states/eV/cell
**ΔE to the lowest computed polymorph**: 412 meV/atom

a = 4.9391 Å, b = 4.9391 Å, c = 4.9391 Å
α = 60.00°, β = 60.00°, γ = 60.00°
Closest atoms and distances in Å follow each position.
Sites, in units of the cell vectors:
Sn1 0.0000 0.0000 0.0000  8 Cl 3.02
B1 0.5000 0.5000 0.5000  8 Cl 3.02
Cl1 0.2500 0.2500 0.2500  4 Sn 3.02, 4 B 3.02
Cl2 0.7500 0.7500 0.7500  4 Sn 3.02, 4 B 3.02

=====

[5]
# SnBCl5

A relaxed SnBCl5 crystal (PBE-GGA, Alexandria via LeMat-Bulk).

Values from the calculation:
**Raw formation energy**: -0.944 eV per atom
**Calculated volume**: 31.74 A^3/atom
**DOS(E_F)**: 0.000 states/eV/cell

a = 6.8192 Å, b = 6.8348 Å, c = 9.5766 Å
α = 86.18°, β = 86.68°, γ = 87.81°
Closest atoms and distances in Å follow each position.
Sites, in units of the cell vectors:
Sn1 0.0000 0.0000 0.0000  1 Cl 2.46
Sn2 0.0582 0.9438 0.4991  1 Cl 2.46
B1 0.4342 0.8630 0.1728  4 Cl 1.83-1.89
B2 0.9188 0.3754 0.6695  4 Cl 1.83-1.89
Cl1 0.0175 0.3903 0.8462  1 B 1.87
Cl2 0.1292 0.3449 0.5350  1 B 1.89
Cl3 0.2136 0.7053 0.1761  1 B 1.88
Cl4 0.2501 0.8655 0.7064  1 Sn 2.46
Cl5 0.4039 0.0695 0.0340  1 B 1.89
Cl6 0.4484 0.9665 0.3473  1 B 1.87
Cl7 0.6575 0.7148 0.1315  1 B 1.83
Cl8 0.7615 0.1550 0.6714  1 B 1.88
Cl9 0.7713 0.5980 0.6235  1 B 1.83
Cl10 0.9267 0.1940 0.2054  1 Sn 2.46

=====

[6]
# Sn2BCl

A relaxed Sn2BCl crystal (PBE-GGA, Alexandria via LeMat-Bulk).

Values from the calculation:
**Raw formation energy**: 0.672 eV per atom
**Calculated volume**: 20.15 A^3/atom
**DOS(E_F)**: 1.413 states/eV/cell
**ΔE to the lowest computed polymorph**: 342 meV/atom

a = 4.8485 Å, b = 4.8485 Å, c = 4.8485 Å
α = 60.00°, β = 60.00°, γ = 60.00°
Closest atoms and distances in Å follow each position.
Sites, in units of the cell vectors:
Sn1 0.2500 0.2500 0.2500  4 Cl 2.97, 4 B 2.97
Sn2 0.7500 0.7500 0.7500  4 B 2.97, 4 Cl 2.97
B1 0.0000 0.0000 0.0000  8 Sn 2.97
Cl1 0.5000 0.5000 0.5000  8 Sn 2.97